First-principles (meta-GGA SCAN) data for Pm2CoNi at its PBEsol-relaxed geometry, as listed in the Alexandria database.

It has space group Fm-3m (No. 225), with a = 6.761 Å, b = 6.761 Å, c = 6.761 Å, α = 90.00°, β = 90.00° and γ = 90.00°. Symmetry generates all atoms from Pm at (0.250, 0.250, 0.250), Co at (0.000, 0.000, 0.000) and Ni at (0.000, 0.000, 0.500).

Its magnetic moment is 5.4 Bohr magnetons per cell. The formation energy comes out at -0.126 eV/atom.

First-principles (meta-GGA SCAN) data for Pr2Co5Ni5 at its PBEsol-relaxed geometry, as listed in the Alexandria database.

It has space group Pmmm (No. 47), with a = 3.913 Å, b = 4.937 Å, c = 8.445 Å, α = 90.00°, β = 90.00° and γ = 90.00°. Symmetry generates all atoms from Pr at (0.000, 0.000, 0.000), Pr at (0.000, 0.500, 0.500), Co at (0.000, 0.000, 0.334), Co at (0.000, 0.500, 0.159), Co at (0.500, 0.500, 0.000), Ni at (0.500, 0.000, 0.500) and Ni at (0.500, 0.250, 0.250).

Its magnetic moment is 9.8 Bohr magnetons per cell. The formation energy comes out at -0.065 eV/atom.

First-principles (meta-GGA SCAN) data for CoNiPt2 at its PBEsol-relaxed geometry, as listed in the Alexandria database.

It has space group P4mm (No. 99), with a = 2.675 Å, b = 2.675 Å, c = 7.189 Å, α = 90.00°, β = 90.00° and γ = 90.00°. Symmetry generates all atoms from Co at (0.000, 0.000, 0.000), Ni at (0.500, 0.500, 0.213), Pt at (0.000, 0.000, 0.463) and Pt at (0.500, 0.500, 0.754).

Its magnetic moment is 3.4 Bohr magnetons per cell. The formation energy comes out at -0.060 eV/atom.